VASP calculation (GGA-PBE) on RbYSi after structural relaxation.

Cell: 5.2342 5.2342 7.9514 Å, 90.00 90.00 90.00°
Element x y z (fractional)
Rb (0.2500, 0.2500, 0.1180)
Rb (0.7500, 0.7500, 0.8820)
Y (0.2500, 0.7500, 0.5000)
Y (0.7500, 0.2500, 0.5000)
Si (0.2500, 0.2500, 0.6619)
Si (0.7500, 0.7500, 0.3381)

Its energy above the lowest structure with this stoichiometry is 39.7 meV/atom. As for the space-group type: No. 129. The calculation puts the formation energy without anion corrections at -24 kJ per mole of atoms. As for the total energy: -4.536 eV/atom.

***

VASP calculation (GGA-PBE) on Tb9HoSc2 after structural relaxation.

Cell: 4.9652 4.9652 14.8605 Å, 90.00 90.00 90.00°
Element x y z (fractional)
Tb (0.0000, 0.0000, 0.0000)
Tb (0.0000, 0.0000, 0.3358)
Tb (0.0000, 0.0000, 0.6642)
Tb (0.0000, 0.5000, 0.1707)
Tb (0.0000, 0.5000, 0.5000)
Tb (0.0000, 0.5000, 0.8293)
Tb (0.5000, 0.0000, 0.1707)
Tb (0.5000, 0.0000, 0.5000)
Tb (0.5000, 0.0000, 0.8293)
Ho (0.5000, 0.5000, 0.0000)
Sc (0.5000, 0.5000, 0.3352)
Sc (0.5000, 0.5000, 0.6648)

As for the space-group type: No. 123. The formation energy comes out at 0.0337 eV/atom. As for the total energy: -4.876 eV/atom.

***

VASP calculation (GGA-PBE) on Ac4IrPd2Au after structural relaxation.

Cell: 7.6384 4.4004 7.7409 Å, 90.00 109.16 90.00°
Element x y z (fractional)
Ac (0.2413, 0.0000, 0.2337)
Ac (0.2499, 0.5000, 0.7668)
Ac (0.7501, 0.5000, 0.2332)
Ac (0.7587, 0.0000, 0.7663)
Ir (0.0000, 0.5000, 0.0000)
Pd (0.5000, 0.0000, 0.0000)
Pd (0.5000, 0.5000, 0.5000)
Au (0.0000, 0.0000, 0.5000)

As for the space-group type: No. 10. The formation energy comes out at -0.7590 eV/atom. As for the total energy: -5.629 eV/atom.

***

VASP calculation (GGA-PBE) on Nd3Al3Zn2 after structural relaxation.

Cell: 8.9708 8.9708 4.8873 Å, 105.27 105.27 28.93°
Element x y z (fractional)
Nd (0.0000, 0.0000, 0.0000)
Nd (0.1448, 0.1448, 0.6403)
Nd (0.8552, 0.8552, 0.3597)
Al (0.3549, 0.3549, 0.8573)
Al (0.5000, 0.5000, 0.5000)
Al (0.6451, 0.6451, 0.1427)
Zn (0.2400, 0.2400, 0.2326)
Zn (0.7600, 0.7600, 0.7674)

Its energy above the lowest structure with this stoichiometry is 93.2 meV/atom. As for the space-group type: No. 12. The formation energy comes out at -0.3151 eV/atom. As for the total energy: -3.825 eV/atom.

***

VASP calculation (GGA-PBE) on Ta5Te after structural relaxation.

Cell: 5.1163 5.1163 5.0415 Å, 90.00 90.00 120.00°
Element x y z (fractional)
Ta (0.0000, 0.6575, 0.0000)
Ta (0.3333, 0.6667, 0.5000)
Ta (0.3425, 0.3425, 0.0000)
Ta (0.6575, 0.0000, 0.0000)
Ta (0.6667, 0.3333, 0.5000)
Te (0.0000, 0.0000, 0.5000)

Its energy above the lowest structure with this stoichiometry is 225.4 meV/atom. As for the space-group type: No. 189. The calculation puts the formation energy without anion corrections at 27 kJ per mole of atoms. As for the total energy: -10.120 eV/atom.

***

VASP calculation (GGA-PBE) on K5Ag after structural relaxation.

Cell: 7.7131 7.7131 6.3986 Å, 90.00 90.00 120.00°
Element x y z (fractional)
K (0.0000, 0.7084, 0.0000)
K (0.2916, 0.2916, 0.0000)
K (0.3333, 0.6667, 0.5000)
K (0.6667, 0.3333, 0.5000)
K (0.7084, 0.0000, 0.0000)
Ag (0.0000, 0.0000, 0.5000)

Its energy above the lowest structure with this stoichiometry is 67.8 meV/atom. As for the space-group type: No. 189. The formation energy comes out at 0.0945 eV/atom. As for the total energy: -1.295 eV/atom.

***

VASP calculation (GGA-PBE) on TlGeAu2 after structural relaxation.

Cell: 7.1379 7.1379 7.1379 Å, 32.54 32.54 32.54°
Element x y z (fractional)
Tl (0.0000, 0.0000, 0.0000)
Ge (0.8291, 0.8291, 0.8291)
Au (0.2322, 0.2322, 0.2322)
Au (0.4278, 0.4278, 0.4278)

Its energy above the lowest structure with this stoichiometry is 75.2 meV/atom. As for the space-group type: No. 160. The formation energy comes out at 0.0620 eV/atom. As for the total energy: -3.323 eV/atom.

***

VASP calculation (GGA-PBE) on TcBAs2Br after structural relaxation.

Cell: 4.3413 4.3413 4.5947 Å, 90.00 90.00 90.00°
Element x y z (fractional)
Tc (0.0000, 0.0000, 0.0000)
B (0.5000, 0.5000, 0.5000)
As (0.0000, 0.5000, 0.5000)
As (0.5000, 0.0000, 0.5000)
Br (0.5000, 0.5000, 0.0000)

Its energy above the lowest structure with this stoichiometry is 0.0 meV/atom. As for the space-group type: No. 123. The calculation puts the formation energy without anion corrections at 115 kJ per mole of atoms. As for the total energy: -4.408 eV/atom.